[1]
Below is crystalline RbLu2CuS4 at its relaxed geometry, with properties calculated at the PBE level.

The structure in POSCAR format:
```
RbLu2CuS4
1.0
1.9571 -6.7662 0.0000
1.9571 6.7662 0.0000
0.0000 0.0000 13.5877
Rb Lu Cu S
2 4 2 8
Direct
0.1084 0.8916 0.7500
0.8916 0.1084 0.2500
0.3658 0.6342 0.5625
0.3658 0.6342 0.9375
0.6342 0.3658 0.0625
0.6342 0.3658 0.4375
0.1646 0.8354 0.2500
0.8354 0.1646 0.7500
0.0000 0.0000 0.0000
0.0000 0.0000 0.5000
0.2595 0.7405 0.1064
0.2595 0.7405 0.3936
0.4262 0.5738 0.7500
0.5738 0.4262 0.2500
0.7405 0.2595 0.6064
0.7405 0.2595 0.8936
```

Output
* energy: -86.5 eV for the cell shown
* SG: Cmcm (63)

=====

[2]
Below is crystalline PmHgIr at its relaxed geometry, with properties calculated at the PBE level.

The structure in POSCAR format:
```
PmHgIr
1.0
0.0000 3.3605 3.3605
3.3605 0.0000 3.3605
3.3605 3.3605 0.0000
Pm Hg Ir
1 1 1
Direct
0.0000 0.0000 0.0000
0.5000 0.5000 0.5000
0.2500 0.2500 0.2500
```

Output
* energy: -14.9 eV for the cell shown
* E_form: -0.345 eV/atom
* SG: F-43m (216)

=====

[3]
Below is crystalline Ba2Cd2Cu2S5 at its relaxed geometry, with properties calculated at the PBE level.

The structure in POSCAR format:
```
Ba2Cd2Cu2S5
1.0
7.3661 -2.0619 0.0000
7.3661 2.0619 0.0000
-3.7100 0.0000 8.4455
Ba Cd Cu S
2 2 2 5
Direct
0.1696 0.1696 0.1942
0.8304 0.8304 0.8058
0.4496 0.4496 0.2441
0.5504 0.5504 0.7559
0.1255 0.1255 0.5471
0.8745 0.8745 0.4529
0.1642 0.1642 0.8165
0.3700 0.3700 0.5596
0.5000 0.5000 0.0000
0.6300 0.6300 0.4404
0.8358 0.8358 0.1835
```

Output
* energy: -45.0 eV for the cell shown
* SG: C2/m (12)

=====

[4]
Below is crystalline ScBeZnSi at its relaxed geometry, with properties calculated at the PBE level.

The structure in POSCAR format:
```
ScBeZnSi
1.0
0.0000 3.0895 3.0895
3.0895 0.0000 3.0895
3.0895 3.0895 0.0000
Sc Be Zn Si
1 1 1 1
Direct
0.0000 0.0000 0.0000
0.2500 0.2500 0.2500
0.5000 0.5000 0.5000
0.7500 0.7500 0.7500
```

Output
* energy: -16.5 eV for the cell shown
* SG: F-43m (216)
* distance to the lowest polymorph of the same formula: 10 meV/atom

=====

[5]
Below is crystalline Ho at its relaxed geometry, with properties calculated at the PBE level.

The structure in POSCAR format:
```
Ho
1.0
3.5102 2.0266 5.7280
-3.5102 2.0266 5.7280
0.0000 -4.0532 5.7280
Ho
8
Direct
0.2504 0.2504 0.2504
0.2500 0.2500 0.7504
0.2500 0.7504 0.2500
0.2496 0.7500 0.7500
0.7504 0.2500 0.2500
0.7500 0.2496 0.7500
0.7500 0.7500 0.2496
0.7496 0.7496 0.7496
```

Output
* energy: -36.5 eV for the cell shown
* E_form: 0.019 eV/atom
* SG: R-3m (166)
* distance to the lowest polymorph of the same formula: 19 meV/atom

=====

[6]
Below is crystalline NaSmHgTe3 at its relaxed geometry, with properties calculated at the PBE level.

The structure in POSCAR format:
```
NaSmHgTe3
1.0
14.8525 0.0000 0.0000
0.0000 4.4632 0.0000
0.0000 0.0000 12.1011
Na Sm Hg Te
4 4 4 12
Direct
0.2311 0.2500 0.0754
0.2689 0.7500 0.5754
0.7311 0.2500 0.4246
0.7689 0.7500 0.9246
0.0156 0.2500 0.3418
0.4844 0.7500 0.8418
0.5156 0.2500 0.1582
0.9844 0.7500 0.6582
0.0097 0.7500 0.1041
0.4903 0.2500 0.6041
0.5097 0.7500 0.3959
0.9903 0.2500 0.8959
0.1129 0.2500 0.5689
0.1140 0.7500 0.8814
0.1518 0.7500 0.2579
0.3482 0.2500 0.7579
0.3860 0.2500 0.3814
0.3871 0.7500 0.0689
0.6129 0.2500 0.9311
0.6140 0.7500 0.6186
0.6518 0.7500 0.2421
0.8482 0.2500 0.7421
0.8860 0.2500 0.1186
0.8871 0.7500 0.4311
```

Output
* energy: -83.9 eV for the cell shown
* SG: Pnma (62)
* distance to the lowest polymorph of the same formula: 9 meV/atom

=====

[7]
Below is crystalline LiPrCdS3 at its relaxed geometry, with properties calculated at the PBE level.

The structure in POSCAR format:
```
LiPrCdS3
1.0
2.0293 -6.2558 0.0000
2.0293 6.2558 0.0000
0.0000 0.0000 11.1973
Li Pr Cd S
2 2 2 6
Direct
0.2459 0.7541 0.7500
0.7541 0.2459 0.2500
0.0000 0.0000 0.0000
0.0000 0.0000 0.5000
0.4752 0.5248 0.2500
0.5248 0.4752 0.7500
0.1005 0.8995 0.2500
0.3552 0.6448 0.0736
0.3552 0.6448 0.4264
0.6448 0.3552 0.5736
0.6448 0.3552 0.9264
0.8995 0.1005 0.7500
```

Output
* energy: -54.5 eV for the cell shown
* SG: Cmcm (63)
* distance to the lowest polymorph of the same formula: 63 meV/atom

=====

[8]
Below is crystalline Ga2Tc2As at its relaxed geometry, with properties calculated at the PBE level.

The structure in POSCAR format:
```
Ga2Tc2As
1.0
-1.6943 1.6943 6.7598
1.6943 -1.6943 6.7598
1.6943 1.6943 -6.7598
Ga Tc As
2 2 1
Direct
0.2500 0.7500 0.5000
0.7500 0.2500 0.5000
0.1004 0.1004 0.0000
0.8996 0.8996 0.0000
0.5000 0.5000 0.0000
```

Output
* energy: -31.0 eV for the cell shown
* SG: I4/mmm (139)

=====

[9]
Below is crystalline TbZnPd at its relaxed geometry, with properties calculated at the PBE level.

The structure in POSCAR format:
```
TbZnPd
1.0
4.8169 0.0000 0.0000
-2.4084 4.1715 0.0000
0.0000 0.0000 5.8751
Tb Zn Pd
2 2 2
Direct
0.3333 0.6667 0.2500
0.6667 0.3333 0.7500
0.3333 0.6667 0.7500
0.6667 0.3333 0.2500
0.0000 0.0000 0.0000
0.0000 0.0000 0.5000
```

Output
* energy: -25.0 eV for the cell shown
* E_form: -0.476 eV/atom
* SG: P6_3/mmc (194)

=====

[10]
Below is crystalline PaN at its relaxed geometry, with properties calculated at the PBE level.

The structure in POSCAR format:
```
PaN
1.0
6.5678 0.0000 0.0000
0.0000 4.4059 0.0000
0.0000 0.0000 4.4343
Pa N
4 4
Direct
0.0000 0.0000 0.0000
0.2500 0.5000 0.4979
0.5000 0.0000 0.0000
0.7500 0.5000 0.5021
0.2500 0.0000 0.4944
0.2500 0.5000 0.9976
0.7500 0.0000 0.5056
0.7500 0.5000 0.0024
```

Output
* energy: -78.8 eV for the cell shown
* SG: Pmma (51)
* distance to the lowest polymorph of the same formula: 699 meV/atom

=====

[11]
Below is crystalline KCuSnSe3 at its relaxed geometry, with properties calculated at the PBE level.

The structure in POSCAR format:
```
KCuSnSe3
1.0
8.4757 0.0000 0.0000
0.0000 4.0629 0.0000
-3.4190 0.0000 9.4776
K Cu Sn Se
2 2 2 6
Direct
0.2459 0.2500 0.1979
0.7541 0.7500 0.8021
0.4379 0.2500 0.9210
0.5621 0.7500 0.0790
0.1839 0.7500 0.6484
0.8161 0.2500 0.3516
0.0554 0.7500 0.3619
0.2650 0.7500 0.9352
0.4093 0.2500 0.6671
0.5907 0.7500 0.3329
0.7350 0.2500 0.0648
0.9446 0.2500 0.6381
```

Output
* energy: -45.5 eV for the cell shown
* SG: P2_1/m (11)
* distance to the lowest polymorph of the same formula: 6 meV/atom

=====

[12]
Below is crystalline TmHgB at its relaxed geometry, with properties calculated at the PBE level.

The structure in POSCAR format:
```
TmHgB
1.0
0.0000 3.0251 3.0251
3.0251 0.0000 3.0251
3.0251 3.0251 0.0000
Tm Hg B
1 1 1
Direct
0.0000 0.0000 0.0000
0.5000 0.5000 0.5000
0.7500 0.7500 0.7500
```

Output
* energy: -11.6 eV for the cell shown
* SG: F-43m (216)
* distance to the lowest polymorph of the same formula: 0 meV/atom